An optimized crystal structure of CoSb2O6. Source: OQMD via LeMat-Bulk, functional PBE+U.

Structure (CIF):
```
data_CoSb2O6
_chemical_formula_sum 'Co2 Sb4 O12'
_cell_length_a 4.663
_cell_length_b 4.663
_cell_length_c 9.362
_cell_angle_alpha 90.00
_cell_angle_beta 90.00
_cell_angle_gamma 90.00
_symmetry_space_group_name_H-M 'P 42/m n m'
_symmetry_Int_Tables_number 136
_symmetry_space_group_name_Hall '-P 4n 2n'
loop_
_atom_site_label
_atom_site_fract_x
_atom_site_fract_y
_atom_site_fract_z
Co1 0.000 0.000 0.000
Sb1 0.000 0.000 0.333
O1 0.192 0.192 0.500
O2 0.198 0.198 0.171
```

Distance to the lowest polymorph of the same formula (meV/atom): 0
DFT total energy (eV/atom): -6.15
Theoretical density (g/cm3): 6.50